No. 1
First-principles (GGA-PBE) data for a relaxed Rb2MnInCl6 crystal, as listed in Alexandria.

Total moment: 0.431 μB per atom
Formation energy without anion corrections: -1.408 eV/atom
V: 581.32 Å³ per cell

Structure (CIF):
```
data_Rb2MnInCl6
_chemical_formula_sum 'Rb4 Mn2 In2 Cl12'
_cell_length_a 7.4349
_cell_length_b 10.5174
_cell_length_c 7.4342
_cell_angle_alpha 90.00
_cell_angle_beta 90.00
_cell_angle_gamma 90.00
_symmetry_space_group_name_H-M 'P m m n'
_symmetry_Int_Tables_number 59
loop_
_symmetry_equiv_pos_as_xyz
'x,y,z'
'-x,-y,-z'
'-x+1/2,-y+1/2,z'
'x+1/2,y+1/2,-z'
'x+1/2,-y,-z'
'-x+1/2,y,z'
'-x,y+1/2,-z'
'x,-y+1/2,z'
loop_
_atom_site_label
_atom_site_type_symbol
_atom_site_fract_x
_atom_site_fract_y
_atom_site_fract_z
_atom_site_occupancy
Rb1 Rb 0.2500 0.0000 0.2493 1
Mn1 Mn 0.2500 0.2500 0.7507 1
In1 In 0.2500 0.7500 0.7492 1
Cl1 Cl 0.0127 0.2500 0.5135 1
Cl2 Cl 0.0129 0.2500 0.9882 1
Cl3 Cl 0.2500 0.0124 0.7508 1
```

***

No. 2
First-principles (GGA-PBE) data for a relaxed RbMnIn2Cl6 crystal, as listed in Alexandria.

Total moment: 0.398 μB per atom
Formation energy without anion corrections: -1.121 eV/atom
V: 630.52 Å³ per cell

Structure (CIF):
```
data_RbMnIn2Cl6
_chemical_formula_sum 'Rb2 Mn2 In4 Cl12'
_cell_length_a 7.1580
_cell_length_b 8.5861
_cell_length_c 12.1190
_cell_angle_alpha 90.00
_cell_angle_beta 122.16
_cell_angle_gamma 90.00
_symmetry_space_group_name_H-M 'P 1 21/c 1'
_symmetry_Int_Tables_number 14
loop_
_symmetry_equiv_pos_as_xyz
'x,y,z'
'-x,-y,-z'
'-x,y+1/2,-z+1/2'
'x,-y+1/2,z+1/2'
loop_
_atom_site_label
_atom_site_type_symbol
_atom_site_fract_x
_atom_site_fract_y
_atom_site_fract_z
_atom_site_occupancy
Rb1 Rb 0.0000 0.0000 0.0000 1
Mn1 Mn 0.5000 0.0000 0.5000 1
In1 In 0.1950 0.0382 0.7170 1
Cl1 Cl 0.1632 0.1564 0.4833 1
Cl2 Cl 0.2673 0.7101 0.8960 1
Cl3 Cl 0.4183 0.0988 0.3005 1
```

***

No. 3
First-principles (GGA-PBE) data for a relaxed Rb2Mn2InCl7 crystal, as listed in Alexandria.

Total moment: 0.833 μB per atom
Formation energy without anion corrections: -1.334 eV/atom
V: 680.95 Å³ per cell

Structure (CIF):
```
data_Rb2Mn2InCl7
_chemical_formula_sum 'Rb4 Mn4 In2 Cl14'
_cell_length_a 7.1905
_cell_length_b 7.1906
_cell_length_c 13.6508
_cell_angle_alpha 90.00
_cell_angle_beta 105.25
_cell_angle_gamma 90.00
_symmetry_space_group_name_H-M 'C 1 2/m 1'
_symmetry_Int_Tables_number 12
loop_
_symmetry_equiv_pos_as_xyz
'x,y,z'
'-x,-y,-z'
'-x,y,-z'
'x,-y,z'
'x+1/2,y+1/2,z'
'-x+1/2,-y+1/2,-z'
'-x+1/2,y+1/2,-z'
'x+1/2,-y+1/2,z'
loop_
_atom_site_label
_atom_site_type_symbol
_atom_site_fract_x
_atom_site_fract_y
_atom_site_fract_z
_atom_site_occupancy
Rb1 Rb 0.1811 0.0000 0.3625 1
Mn1 Mn 0.0985 0.5000 0.1951 1
In1 In 0.0000 0.0000 0.0000 1
Cl1 Cl 0.0000 0.5000 0.0000 1
Cl2 Cl 0.1561 0.2503 0.8123 1
Cl3 Cl 0.1920 0.5000 0.3844 1
```

***

No. 4
First-principles (GGA-PBE) data for a relaxed MnInS2Cl crystal, as listed in Alexandria.

Energy above the lowest structure with this stoichiometry: 502.4 meV per atom
Total moment: 0.993 μB per atom
Formation energy without anion corrections: 0.186 eV/atom
V: 130.34 Å³ per cell

Structure (CIF):
```
data_MnInS2Cl
_chemical_formula_sum 'Mn1 In1 S2 Cl1'
_cell_length_a 5.0923
_cell_length_b 5.0923
_cell_length_c 5.0263
_cell_angle_alpha 90.00
_cell_angle_beta 90.00
_cell_angle_gamma 90.00
_symmetry_space_group_name_H-M 'P 4/m m m'
_symmetry_Int_Tables_number 123
_symmetry_space_group_name_Hall '-P 4 2'
loop_
_atom_site_label
_atom_site_type_symbol
_atom_site_fract_x
_atom_site_fract_y
_atom_site_fract_z
_atom_site_occupancy
Mn1 Mn 0.0000 0.0000 0.0000 1
In1 In 0.5000 0.5000 0.5000 1
S1 S 0.0000 0.5000 0.5000 1
Cl1 Cl 0.5000 0.5000 0.0000 1
```